# PrEu2Cl

Crystalline PrEu2Cl at its relaxed geometry (PBE, Alexandria via LeMat-Bulk).

Results
Fermi-level density of states = 2.844 states/eV/atom
Volume = 33.9 Å³ per atom
Total moment = 14.9 μB/f.u.
Raw formation energy = -809 meV per atom
Space-group type = No. 166
VASP energy = -7.603 eV/atom

Cell lengths 3.8369, 3.8369, 31.9079 Å; angles 90.00, 90.00, 120.00 degrees
Closest atoms and distances in Å follow each position.
Sites, in units of the cell vectors:
Pr  0.0000  0.0000  0.0000  6 Pr 3.84, 6 Eu 3.84
Pr  0.3333  0.6667  0.6667  6 Pr 3.84, 6 Eu 3.84
Pr  0.6667  0.3333  0.3333  6 Pr 3.84, 6 Eu 3.84
Eu  0.0000  0.0000  0.2350  3 Cl 3.11
Eu  0.0000  0.0000  0.7650  3 Cl 3.11
Eu  0.3333  0.6667  0.4317  3 Cl 3.11
Eu  0.3333  0.6667  0.9016  3 Cl 3.11
Eu  0.6667  0.3333  0.0984  3 Cl 3.11
Eu  0.6667  0.3333  0.5683  3 Cl 3.11
Cl  0.0000  0.0000  0.5000  6 Eu 3.11
Cl  0.3333  0.6667  0.1667  6 Eu 3.11
Cl  0.6667  0.3333  0.8333  6 Eu 3.11